(1)
Material: ThCdSbO6
Method: DFT, PBE
State: relaxed

Lattice parameters (Å, degrees): 5.1215 5.1215 10.2972 90.00 90.00 90.00
With the nearest neighbours (Å) after each atom.
Space group P4_2nm (No. 102)
One atom of each set of equivalent atoms:
Th 0.0000 0.0000 0.0000 (multiplicity 2)  6 O 2.29-2.36
Cd 0.0000 0.0000 0.3298 (multiplicity 2)  6 O 2.30-2.38
Sb 0.0000 0.0000 0.6637 (multiplicity 2)  6 O 2.01-2.02
O 0.1832 0.1832 0.8110 (multiplicity 4)  1 Sb 2.02
O 0.1843 0.1843 0.5171 (multiplicity 4)  1 Sb 2.01
O 0.2226 0.2226 0.1598 (multiplicity 4)  1 Sb 2.01

Output
Raw formation energy: -1.912 eV per atom
N(E_F): 17.3 states/eV/cell
VASP energy: -59.4 eV per formula unit



(2)
Material: Ti2CdSbO
Method: DFT, PBE
State: relaxed

Lattice parameters (Å, degrees): 5.2598 5.2598 4.1194 90.00 90.00 90.00
With the nearest neighbours (Å) after each atom.
Space group P4/mmm (No. 123)
One atom of each set of equivalent atoms:
Ti 0.0000 0.5000 0.0000 (multiplicity 2)  2 Sb 2.63
Cd 0.0000 0.0000 0.5000 (multiplicity 1)  8 Ti 3.34, 4 O 3.72
Sb 0.5000 0.5000 0.0000 (multiplicity 1)  2 O 2.06
O 0.5000 0.5000 0.5000 (multiplicity 1)  2 Sb 2.06

Output
Raw formation energy: 0.424 eV per atom
N(E_F): 4.4 states/eV/cell
VASP energy: -23.7 eV per formula unit



(3)
Material: YbTiCdSbO7
Method: DFT, PBE
State: relaxed

Lattice parameters (Å, degrees): 7.2997 7.2997 10.3457 90.00 90.00 90.00
With the nearest neighbours (Å) after each atom.
Space group P4_122 (No. 91)
One atom of each set of equivalent atoms:
Yb 0.0000 0.2598 0.0000 (multiplicity 4)  4 O 2.23-2.48
Ti 0.0000 0.2386 0.5000 (multiplicity 4)  6 O 1.93-2.01
Cd 0.2532 0.5000 0.7500 (multiplicity 4)  2 O 2.24
Sb 0.2438 0.5000 0.2500 (multiplicity 4)  6 O 1.99-2.02
O 0.0490 0.0490 0.3750 (multiplicity 4)  2 Ti 1.93
O 0.0510 0.4495 0.3810 (multiplicity 8)  1 Sb 1.99, 1 Ti 2.01
O 0.2368 0.2491 0.1755 (multiplicity 8)  1 Ti 1.97, 1 Sb 1.99
O 0.2492 0.2492 0.8750 (multiplicity 4)  2 Yb 2.23, 2 Cd 2.24
O 0.4507 0.4507 0.3750 (multiplicity 4)  2 Sb 2.02

Output
Raw formation energy: -2.168 eV per atom
N(E_F): 25.6 states/eV/cell
VASP energy: -73.0 eV per formula unit



(4)
Material: YbTiCdSbO7
Method: DFT, PBE
State: relaxed

Lattice parameters (Å, degrees): 7.1985 7.4334 10.3033 90.00 90.00 90.00
With the nearest neighbours (Å) after each atom.
Space group Imma (No. 74)
One atom of each set of equivalent atoms:
Yb 0.0000 0.0000 0.0000 (multiplicity 4)  6 O 2.24-2.50
Ti 0.2500 0.2500 0.2500 (multiplicity 4)  6 O 1.94-1.98
Cd 0.2500 0.2500 0.7500 (multiplicity 4)  4 O 2.24-2.51
Sb 0.0000 0.0000 0.5000 (multiplicity 4)  6 O 1.98-2.04
O 0.0000 0.2500 0.1795 (multiplicity 4)  2 Ti 1.94
O 0.0000 0.2500 0.5807 (multiplicity 4)  2 Sb 2.04
O 0.0000 0.2500 0.8791 (multiplicity 4)  2 Yb 2.24, 2 Cd 2.24
O 0.2053 0.0561 0.3779 (multiplicity 16)  1 Ti 1.98, 1 Sb 1.98

Output
Raw formation energy: -2.166 eV per atom
N(E_F): 27.2 states/eV/cell
VASP energy: -73.0 eV per formula unit



Question: What is the formula in the second record?
Answer: Ti2CdSbO



Question: Which formula does entry 3 have?
Answer: YbTiCdSbO7